Version A
A plane-wave DFT calculation with PBE-GGA was carried out for TePSeI2 after structural relaxation.

Structure (extended XYZ):
```
5
Lattice="5.6474 0.0000 0.0000 0.0000 5.6474 0.0000 0.0000 0.0000 5.7418" Properties=species:S:1:pos:R:3 pbc="T T T"
Te 0.0000 0.0000 0.0000
P 2.8237 2.8237 0.0000
Se 0.0000 0.0000 2.8709
I 0.0000 2.8237 2.8709
I 2.8237 0.0000 2.8709
```

Properties
- Total magnetization: 2.00 μB/f.u.
- Space group: No. 123
- N(E_F): 3.9 states/eV per cell

Version B
A plane-wave DFT calculation with PBE-GGA was carried out for TePSeI2 after structural relaxation.

Structure (extended XYZ):
```
5
Lattice="5.3119 0.0000 0.0000 0.0000 5.3119 0.0000 0.0000 0.0000 5.5852" Properties=species:S:1:pos:R:3 pbc="T T T"
Te 0.0000 0.0000 0.0000
P 0.0000 0.0000 2.7926
Se 2.6560 2.6560 0.0000
I 0.0000 2.6560 2.7926
I 2.6560 0.0000 2.7926
```

Properties
- Total magnetization: 0.86 μB/f.u.
- Space group: No. 123
- N(E_F): 4.0 states/eV per cell

The data favor version B; the next most stable structure lies 267 meV per atom above it.

Version A
A plane-wave DFT calculation with PBE-GGA was carried out for Te2PSeI after structural relaxation.

Structure (extended XYZ):
```
5
Lattice="5.3372 0.0000 0.0000 0.0000 5.3372 0.0000 0.0000 0.0000 5.2041" Properties=species:S:1:pos:R:3 pbc="T T T"
Te 0.0000 2.6686 0.0000
Te 2.6686 0.0000 0.0000
P 0.0000 0.0000 0.0000
Se 2.6686 2.6686 2.6020
I 0.0000 0.0000 2.6020
```

Properties
- Total magnetization: 0.00 μB/f.u.
- Space group: No. 123
- N(E_F): 3.4 states/eV per cell

Version B
A plane-wave DFT calculation with PBE-GGA was carried out for Te2PSeI after structural relaxation.

Structure (extended XYZ):
```
5
Lattice="5.5564 0.0000 0.0000 0.0000 5.5564 0.0000 0.0000 0.0000 5.5805" Properties=species:S:1:pos:R:3 pbc="T T T"
Te 0.0000 2.7782 0.0000
Te 2.7782 0.0000 0.0000
P 0.0000 0.0000 2.7902
Se 2.7782 2.7782 0.0000
I 2.7782 2.7782 2.7902
```

Properties
- Total magnetization: 1.59 μB/f.u.
- Space group: No. 123
- N(E_F): 4.0 states/eV per cell

The data favor version A; the next most stable structure lies 326 meV per atom above it.

Version A
A plane-wave DFT calculation with PBE-GGA was carried out for Si2P2I after structural relaxation.

Structure (extended XYZ):
```
10
Lattice="9.4500 0.0000 0.0000 0.0000 9.4500 0.0000 0.0000 0.0000 3.1639" Properties=species:S:1:pos:R:3 pbc="T T T"
Si 1.0651 3.6599 0.0000
Si 3.6599 8.3849 0.0000
Si 5.7901 1.0651 0.0000
Si 8.3849 5.7901 0.0000
P 0.8249 5.5499 1.5819
P 3.9001 0.8249 1.5819
P 5.5499 8.6251 1.5819
P 8.6251 3.9001 1.5819
I 0.0000 0.0000 1.5819
I 4.7250 4.7250 1.5819
```

Properties
- Total magnetization: 0.00 μB/f.u.
- Space group: No. 127
- N(E_F): 1.3 states/eV per cell

Version B
A plane-wave DFT calculation with PBE-GGA was carried out for Si2P2I after structural relaxation.

Structure (extended XYZ):
```
5
Lattice="-2.2573 2.2573 4.5081 2.2573 -2.2573 4.5081 2.2573 2.2573 -4.5081" Properties=species:S:1:pos:R:3 pbc="T T T"
Si 0.0000 0.0000 1.2724
Si 0.0000 0.0000 7.7438
P 2.2573 0.0000 2.2540
P 0.0000 2.2573 2.2540
I 0.0000 0.0000 4.5081
```

Properties
- Total magnetization: 0.00 μB/f.u.
- Space group: No. 139
- N(E_F): 1.9 states/eV per cell

Version C
A plane-wave DFT calculation with PBE-GGA was carried out for Si2P2I after structural relaxation.

Structure (extended XYZ):
```
5
Lattice="-2.0737 2.0737 6.2041 2.0737 -2.0737 6.2041 2.0737 2.0737 -6.2041" Properties=species:S:1:pos:R:3 pbc="T T T"
Si 2.0737 0.0000 3.1021
Si 0.0000 2.0737 3.1021
P 0.0000 0.0000 1.8884
P 0.0000 0.0000 10.5199
I 0.0000 0.0000 6.2041
```

Properties
- Total magnetization: 0.00 μB/f.u.
- Space group: No. 139
- N(E_F): 1.8 states/eV per cell

The data favor version C; the next most stable structure lies 29 meV per atom above it.

Version A
A plane-wave DFT calculation with PBE-GGA was carried out for Si2PI after structural relaxation.

Structure (extended XYZ):
```
4
Lattice="0.0000 3.4234 3.4234 3.4234 0.0000 3.4234 3.4234 3.4234 0.0000" Properties=species:S:1:pos:R:3 pbc="T T T"
Si 1.7117 1.7117 1.7117
Si 5.1352 5.1352 5.1352
P 0.0000 0.0000 0.0000
I 3.4234 3.4234 3.4234
```

Properties
- Total magnetization: 0.00 μB/f.u.
- Space group: No. 225
- N(E_F): 2.4 states/eV per cell

Version B
A plane-wave DFT calculation with PBE-GGA was carried out for Si2PI after structural relaxation.

Structure (extended XYZ):
```
8
Lattice="-3.5092 3.5092 3.8895 3.5092 -3.5092 3.8895 3.5092 3.5092 -3.8895" Properties=species:S:1:pos:R:3 pbc="T T T"
Si 5.2638 1.2612 -0.9724
Si 1.2612 1.7546 0.9724
Si -1.7546 2.2481 2.9171
Si 2.2481 1.7546 4.8618
P 0.0000 0.0000 0.0000
P 0.0000 3.5092 1.9447
I 3.5092 0.0000 1.9447
I 0.0000 0.0000 3.8895
```

Properties
- Total magnetization: 0.00 μB/f.u.
- Space group: No. 122
- N(E_F): 3.3 states/eV per cell

The data favor version B; the next most stable structure lies 407 meV per atom above it.